VASP calculation (GGA+U) on a geometry-optimized ZrW2F structure.

Computed properties:
Energy: -41.09 eV for the cell shown
SG: I-42d (122)
V: 193.4 Å³ per cell
D(E_F): 0.73 states/eV/atom
Magnetization: 5.055 μB/f.u.
Energy relative to the lowest polymorph listed for this composition: 105 meV per atom

Cell lengths 7.356, 7.356, 7.356 Å; angles 135.41, 135.41, 64.89 degrees
Positions (direct):
Zr 0.000 0.000 0.000
Zr 0.750 0.250 0.500
W 0.256 0.625 0.131
W 0.375 0.506 0.631
W 0.494 0.125 0.869
W 0.875 0.744 0.369
F 0.250 0.750 0.500
F 0.500 0.500 0.000